First-principles (GGA-PBE) data for a relaxed Mn2OsBr crystal, as listed in Alexandria via LeMat-Bulk.

Cell and atoms, written as POSCAR:
```
Mn2OsBr
1.0
-2.5320 -1.7809 5.4498
-2.9962 -4.6683 -2.9176
0.4399 -5.7048 1.9442
Mn Br Os
4 2 2
Direct
0.8750 0.9000 0.7500
0.3750 0.3500 0.7500
0.6500 0.1250 0.2500
0.1000 0.6250 0.2500
0.2500 0.7500 0.5000
0.5000 0.5000 0.0000
0.0000 0.0000 0.0000
0.7500 0.2500 0.5000
```

## Properties
- space group = I-42d
- theoretical density (g/cm3) = 7.8
- total energy (eV for the cell shown) = -55.0
- formation energy without anion corrections (eV per atom) = 0.934
- energy above the lowest structure with this stoichiometry (meV per atom) = 630.5


First-principles (GGA-PBE) data for a relaxed Ba8Bi3PdI4 crystal, as listed in Alexandria via LeMat-Bulk.

Cell and atoms, written as POSCAR:
```
Ba8Bi3PdI4
1.0
-0.1093 6.9128 7.3427
-7.8888 4.7322 -4.5725
-0.7485 -9.7963 2.2854
Bi Ba Pd I
3 8 1 4
Direct
0.0000 0.5000 0.5000
0.5000 0.5000 0.0000
0.5000 0.5000 0.5000
0.2325 0.7154 0.9833
0.7668 0.2838 0.5336
0.7675 0.2846 0.0167
0.2583 0.2756 0.5167
0.7508 0.7154 0.9833
0.7417 0.7244 0.4833
0.2492 0.2846 0.0167
0.2332 0.7162 0.4664
0.0000 0.5000 0.0000
0.5000 0.0000 0.0000
0.5000 0.0000 0.5000
0.0000 0.0000 0.0000
0.0000 0.0000 0.5000
```

## Properties
- space group = C2/m
- theoretical density (g/cm3) = 5.2
- total energy (eV for the cell shown) = -57.8
- formation energy without anion corrections (eV per atom) = -1.211


First-principles (GGA-PBE) data for a relaxed Zr2ScSbMo crystal, as listed in Alexandria via LeMat-Bulk.

Cell and atoms, written as POSCAR:
```
Zr2ScSbMo
1.0
5.2759 0.0000 0.0000
0.0000 4.9374 0.0000
0.0000 0.0000 5.2759
Zr Sc Sb Mo
2 1 1 1
Direct
0.5000 0.0000 0.0000
0.0000 0.0000 0.5000
0.5000 0.5000 0.5000
0.0000 0.0000 0.0000
0.0000 0.5000 0.0000
```

## Properties
- space group = P4/mmm
- theoretical density (g/cm3) = 5.4
- total energy (eV for the cell shown) = -34.0
- formation energy without anion corrections (eV per atom) = 0.885


First-principles (GGA-PBE) data for a relaxed RbLi2MnZn crystal, as listed in Alexandria via LeMat-Bulk.

Cell and atoms, written as POSCAR:
```
RbLi2MnZn
1.0
-2.3835 2.1182 -4.4221
3.8181 -1.6650 -2.8555
-2.6556 -4.6910 -0.8156
Zn Mn Li Rb
1 1 2 1
Direct
0.0000 0.5000 0.0000
0.0000 0.0000 0.0000
0.0000 0.0000 0.5000
0.5000 0.0000 0.0000
0.5000 0.5000 0.5000
```

## Properties
- space group = P4/mmm
- theoretical density (g/cm3) = 2.4
- total energy (eV for the cell shown) = -12.8
- energy relative to the elements (eV/atom) = 0.485


First-principles (GGA-PBE) data for a relaxed Nd2Dy3Tm6Sc crystal, as listed in Alexandria via LeMat-Bulk.

Cell and atoms, written as POSCAR:
```
Nd2Dy3Tm6Sc
1.0
6.0804 0.0003 0.0030
-3.0385 5.2668 0.0030
-1.0172 -1.7612 11.4670
Sc Dy Tm Nd
1 3 6 2
Direct
0.0000 0.0000 0.0000
0.5000 0.5000 0.5000
0.8336 0.1664 0.5000
0.1664 0.8336 0.5000
0.0834 0.4138 0.2503
0.2470 0.2470 0.7492
0.9166 0.5862 0.7497
0.4138 0.0834 0.2503
0.5862 0.9166 0.7497
0.7530 0.7530 0.2508
0.6664 0.3336 0.0000
0.3336 0.6664 0.0000
```

## Properties
- space group = C2/m
- theoretical density (g/cm3) = 8.3
- total energy (eV for the cell shown) = -56.2
- energy relative to the elements (eV/atom) = 0.029


First-principles (GGA-PBE) data for a relaxed TaVBi2C crystal, as listed in Alexandria via LeMat-Bulk.

Cell and atoms, written as POSCAR:
```
TaVBi2C
1.0
-2.8178 2.3283 3.4401
-1.8752 -3.2917 0.6918
3.3588 -1.1689 3.5423
Bi C V Ta
2 1 1 1
Direct
0.5000 0.0000 0.0000
0.0000 0.0000 0.5000
0.0000 0.0000 0.0000
0.0000 0.5000 0.0000
0.5000 0.5000 0.5000
```

## Properties
- space group = P4/mmm
- theoretical density (g/cm3) = 11.3
- total energy (eV for the cell shown) = -33.5
- energy relative to the elements (eV/atom) = 0.888


First-principles (GGA-PBE) data for a relaxed KSc2Hg crystal, as listed in Alexandria via LeMat-Bulk.

Cell and atoms, written as POSCAR:
```
KSc2Hg
1.0
-0.2989 5.3082 -3.9035
1.5695 -0.4256 -6.3921
-3.8465 -1.8838 5.0159
Sc Hg K
2 1 1
Direct
0.9823 0.9823 0.0000
0.7205 0.2205 0.5000
0.5208 0.5208 0.0000
0.2764 0.7764 0.5000
```

## Properties
- space group = Imm2
- theoretical density (g/cm3) = 4.9
- total energy (eV for the cell shown) = -12.8
- energy relative to the elements (eV/atom) = 0.315


First-principles (GGA-PBE) data for a relaxed Mo2AsBr crystal, as listed in Alexandria via LeMat-Bulk.

Cell and atoms, written as POSCAR:
```
Mo2AsBr
1.0
2.9441 0.0000 0.0000
0.0000 5.7799 0.0000
0.0000 0.0000 4.2512
Mo As Br
2 1 1
Direct
0.0000 0.0000 0.0000
0.5000 0.5000 0.0000
0.5000 0.0000 0.5000
0.0000 0.5000 0.5000
```

## Properties
- space group = Pmmm
- theoretical density (g/cm3) = 8.0
- total energy (eV for the cell shown) = -24.8
- formation energy without anion corrections (eV per atom) = 0.799
- energy above the lowest structure with this stoichiometry (meV per atom) = 666.1


What is the formula in the fifth record?
Nd2Dy3Tm6Sc


What did the first record say?
First-principles (GGA-PBE) data for a relaxed Mn2OsBr crystal, as listed in Alexandria via LeMat-Bulk.

Cell and atoms, written as POSCAR:
```
Mn2OsBr
1.0
-2.5320 -1.7809 5.4498
-2.9962 -4.6683 -2.9176
0.4399 -5.7048 1.9442
Mn Br Os
4 2 2
Direct
0.8750 0.9000 0.7500
0.3750 0.3500 0.7500
0.6500 0.1250 0.2500
0.1000 0.6250 0.2500
0.2500 0.7500 0.5000
0.5000 0.5000 0.0000
0.0000 0.0000 0.0000
0.7500 0.2500 0.5000
```

## Properties
- space group = I-42d
- theoretical density (g/cm3) = 7.8
- total energy (eV for the cell shown) = -55.0
- formation energy without anion corrections (eV per atom) = 0.934
- energy above the lowest structure with this stoichiometry (meV per atom) = 630.5